Density functional theory data (GGA-PBE) for a relaxed structure of PdN.

Results
- mass density (g cm⁻³) = 7.9
- offset from the most stable computed form (meV/atom) = 710.9
- ΔE_f (raw) (meV per atom) = 1032

Unit cell a=5.182 b=3.771 c=3.574 alpha=90.00 beta=133.22 gamma=90.00
Space group C2 (No. 5)
Unique sites:
Pd 0.000 0.000 0.000
N 0.000 0.728 0.500